# Mg2AlRe, optimized geometry, DFT PBE
data_Mg2AlRe
_chemical_formula_sum 'Mg2 Al1 Re1'
_symmetry_space_group_name_H-M 'P 1'
_symmetry_Int_Tables_number 1
_cell_length_a 9.5387
_cell_length_b 9.5387
_cell_length_c 9.5387
_cell_angle_alpha 17.49
_cell_angle_beta 17.49
_cell_angle_gamma 17.49
loop_
_symmetry_equiv_pos_as_xyz
'x,y,z'
loop_
_atom_site_label
_atom_site_fract_x
_atom_site_fract_y
_atom_site_fract_z
Mg1 0.2488 0.2488 0.2488
Mg2 0.7512 0.7512 0.7512
Al1 0.0000 0.0000 0.0000
Re1 0.5000 0.5000 0.5000
# ρ in Mg/m³: 6.36
# SG: R-3m
# Calculated formation energy in meV per atom: 236
# Total DFT energy (no corrections) in eV per atom: -4.61

# Mg2AlRe, optimized geometry, DFT PBE
data_Mg2AlRe
_chemical_formula_sum 'Mg4 Al2 Re2'
_symmetry_space_group_name_H-M 'P 1'
_symmetry_Int_Tables_number 1
_cell_length_a 5.8546
_cell_length_b 5.8546
_cell_length_c 5.8546
_cell_angle_alpha 101.64
_cell_angle_beta 101.64
_cell_angle_gamma 126.61
loop_
_symmetry_equiv_pos_as_xyz
'x,y,z'
loop_
_atom_site_label
_atom_site_fract_x
_atom_site_fract_y
_atom_site_fract_z
Mg1 0.1234 0.6250 0.9984
Mg2 0.3750 0.3734 0.4984
Mg3 0.6266 0.1250 0.0016
Mg4 0.8750 0.8766 0.5016
Al1 0.0000 0.0000 0.0000
Al2 0.7500 0.2500 0.5000
Re1 0.2500 0.7500 0.5000
Re2 0.5000 0.5000 0.0000
# ρ in Mg/m³: 6.04
# SG: I-42d
# Calculated formation energy in meV per atom: 648
# Total DFT energy (no corrections) in eV per atom: -4.20

> Which value of total DFT energy (no corrections) does entry 1 give?

-4.61 eV per atom